[1]
# PBE-GGA Tb2PrMnN4, relaxed
# formation energy (no corrections) = -1.16 eV per atom
data_Tb2PrMnN4
_chemical_formula_sum 'Tb8 Pr4 Mn4 N16'
_space_group_name_H-M_alt 'C m c m'
_space_group_IT_number 63
_space_group_name_Hall '-C 2c 2'
_cell_length_a 3.4331
_cell_length_b 11.5747
_cell_length_c 11.6210
_cell_angle_alpha 90.00
_cell_angle_beta 90.00
_cell_angle_gamma 90.00
loop_
_atom_site_label
_atom_site_type_symbol
_atom_site_fract_x
_atom_site_fract_y
_atom_site_fract_z
Tb1 Tb 0.0000 0.1315 0.0446
Pr1 Pr 0.0000 0.4043 0.2500
Mn1 Mn 0.0000 0.3322 0.7500
N1 N 0.0000 0.0839 0.2500
N2 N 0.0000 0.2342 0.6290
N3 N 0.0000 0.5000 0.0000

=====

[2]
# PBE-GGA NaGaPb2, relaxed
# formation energy = -0.05 eV per atom
data_NaGaPb2
_chemical_formula_sum 'Na1 Ga1 Pb2'
_space_group_name_H-M_alt 'P 4/m m m'
_space_group_IT_number 123
_space_group_name_Hall '-P 4 2'
_cell_length_a 4.8591
_cell_length_b 4.8591
_cell_length_c 4.5195
_cell_angle_alpha 90.00
_cell_angle_beta 90.00
_cell_angle_gamma 90.00
loop_
_atom_site_label
_atom_site_type_symbol
_atom_site_fract_x
_atom_site_fract_y
_atom_site_fract_z
Na1 Na 0.0000 0.0000 0.0000
Ga1 Ga 0.5000 0.5000 0.0000
Pb1 Pb 0.0000 0.5000 0.5000

=====

Computed volume (Å³/cell) in order:
461.8, 106.7